20
Lattice="5.6850 0.0000 0.0000 0.0000 5.2368 0.0163 0.0000 5.1966 7.6307" Properties=species:S:1:pos:R:3 comment="Tm2NiRuO6 | the Alexandria database | PBE+U | optimized geometry" crystal_system=monoclinic n_ef_per_ev_fu=4.90 final_energy_ev_per_atom=-7.354 sg=P2_1/c pbc="T T T"
O 3.9137 4.2455 3.3474
O 3.1327 1.9202 1.9404
O 1.1091 3.5405 3.3075
O 5.3948 4.5185 5.7557
O 2.5523 8.5132 5.7067
O 0.2902 5.9149 1.8913
O 3.9516 4.2945 0.5242
O 4.6137 6.8438 7.1627
O 1.7713 6.1878 4.2997
O 4.5759 6.8928 4.3395
O 1.0712 3.5895 0.4843
O 1.7334 6.1388 7.1229
Ni 2.8425 2.6184 0.0082
Ni 0.0000 5.2167 3.8235
Tm 3.2921 5.3490 5.7127
Tm 2.3928 5.0844 1.9343
Tm 5.2353 2.7507 1.8973
Tm 0.4496 7.6827 5.7497
Ru 0.0000 0.0000 0.0000
Ru 2.8425 2.5983 3.8154

18
Lattice="5.2158 0.0000 0.0000 -2.6079 4.5170 0.0000 0.0000 0.0000 8.9773" Properties=species:S:1:pos:R:3 comment="UNiRuO6 | the Alexandria database | PBE+U | optimized geometry" crystal_system=trigonal n_ef_per_ev_fu=4.70 final_energy_ev_per_atom=-7.675 sg=P-31c pbc="T T T"
O 1.6727 0.0051 5.6168
O -0.8319 1.4511 1.1282
O 1.7671 3.0710 1.1282
O 3.4398 3.0659 7.8492
O 1.7760 3.0659 5.6168
O 0.8408 1.4460 7.8492
O 4.3750 1.4460 5.6168
O 0.9352 4.5119 3.3605
O -1.7671 3.0710 3.3605
O 3.5431 0.0051 7.8492
O -0.9352 4.5119 1.1282
O 0.8319 1.4511 3.3605
Ru 0.0000 0.0000 0.0000
Ru 0.0000 0.0000 4.4887
U 2.6079 1.5057 2.2443
U 0.0000 3.0114 6.7330
Ni 2.6079 1.5057 6.7330
Ni 0.0000 3.0114 2.2443